1.
# CrGa2NiAs

A relaxed CrGa2NiAs crystal (PBEsol, Alexandria).

Cell: 4.580 4.580 4.391 Å, 90.00 90.00 90.00°
Space group P4/mmm (No. 123)
Asymmetric unit:
Cr  0.000  0.000  0.000 (multiplicity 1)
Ga  0.000  0.500  0.000 (multiplicity 2)
Ni  0.500  0.500  0.500 (multiplicity 1)
As  0.000  0.000  0.500 (multiplicity 1)

The density of states at the Fermi level comes out at 6.3 states/eV/f.u. The formation energy is 686 meV/atom. The total magnetic moment comes out at 0.199 μB per atom.

2.
# AlPt2Pb

A relaxed AlPt2Pb crystal (PBEsol, Alexandria).

Cell: 3.568 3.568 5.569 Å, 90.00 90.00 90.00°
Space group P4mm (No. 99)
Asymmetric unit:
Al  0.000  0.000  0.000 (multiplicity 1)
Pt  0.000  0.000  0.549 (multiplicity 1)
Pt  0.500  0.500  0.862 (multiplicity 1)
Pb  0.500  0.500  0.350 (multiplicity 1)

The density of states at the Fermi level comes out at 1.3 states/eV/f.u. The formation energy is -327 meV/atom. The total magnetic moment comes out at 0.000 μB per atom.

3.
# Ba2Na2Ga

A relaxed Ba2Na2Ga crystal (PBEsol, Alexandria).

Cell: 4.236 4.236 21.597 Å, 90.00 90.00 90.00°
Space group I4/mmm (No. 139)
Asymmetric unit:
Ba  0.000  0.000  0.085 (multiplicity 4)
Na  0.000  0.500  0.250 (multiplicity 4)
Ga  0.000  0.000  0.500 (multiplicity 2)

The density of states at the Fermi level comes out at 3.2 states/eV/f.u. The formation energy is -61 meV/atom. The total magnetic moment comes out at 0.000 μB per atom.

4.
# Pd3WBr

A relaxed Pd3WBr crystal (PBEsol, Alexandria).

Cell: 4.792 4.792 4.792 Å, 90.00 90.00 90.00°
Space group Pm-3m (No. 221)
Asymmetric unit:
Pd  0.000  0.000  0.500 (multiplicity 3)
W  0.000  0.000  0.000 (multiplicity 1)
Br  0.500  0.500  0.500 (multiplicity 1)

For the energy above the lowest structure with this stoichiometry, the calculation gives 0 meV per atom. The density of states at the Fermi level comes out at 3.4 states/eV/f.u. As for the uncorrected formation energy: 1.22 eV per atom. The total magnetic moment comes out at 0.000 μB per atom.

5.
# FeTeAs2

A relaxed FeTeAs2 crystal (PBEsol, Alexandria).

Cell: 5.883 5.883 10.726 Å, 90.00 90.00 90.00°
Space group I-42d (No. 122)
Asymmetric unit:
Fe  0.000  0.000  0.000 (multiplicity 4)
Te  0.000  0.000  0.500 (multiplicity 4)
As  0.158  0.250  0.125 (multiplicity 8)

The density of states at the Fermi level comes out at 2.8 states/eV/f.u. As for the uncorrected formation energy: 0.27 eV per atom. The total magnetic moment comes out at 0.001 μB per atom.

6.
# LiWF2

A relaxed LiWF2 crystal (PBEsol, Alexandria).

Cell: 4.718 4.718 8.215 Å, 90.00 90.00 90.00°
Space group I-42d (No. 122)
Asymmetric unit:
Li  0.000  0.000  0.000 (multiplicity 4)
W  0.000  0.000  0.500 (multiplicity 4)
F  0.164  0.250  0.125 (multiplicity 8)

For the energy above the lowest structure with this stoichiometry, the calculation gives 1064 meV per atom. The density of states at the Fermi level comes out at 2.3 states/eV/f.u. As for the uncorrected formation energy: -0.87 eV per atom. The total magnetic moment comes out at 0.242 μB per atom.

7.
# MnAs2F12

A relaxed MnAs2F12 crystal (PBEsol, Alexandria).

Cell: 7.489 7.489 15.295 Å, 90.00 90.00 90.00°
Space group I-42d (No. 122)
Asymmetric unit:
Mn  0.000  0.000  0.000 (multiplicity 4)
As  0.000  0.000  0.219 (multiplicity 8)
F  0.040  0.153  0.868 (multiplicity 16)
F  0.043  0.164  0.706 (multiplicity 16)
F  0.063  0.232  0.216 (multiplicity 16)

The density of states at the Fermi level comes out at 0.0 states/eV/f.u. As for the uncorrected formation energy: -2.15 eV per atom. The total magnetic moment comes out at 0.333 μB per atom.

8.
# LaHf2Zr

A relaxed LaHf2Zr crystal (PBEsol, Alexandria).

Cell: 7.204 7.204 7.204 Å, 90.00 90.00 90.00°
Space group Fm-3m (No. 225)
Asymmetric unit:
La  0.000  0.000  0.000 (multiplicity 4)
Hf  0.250  0.250  0.250 (multiplicity 8)
Zr  0.000  0.000  0.500 (multiplicity 4)

The density of states at the Fermi level comes out at 6.4 states/eV/f.u. The formation energy is 281 meV/atom. The total magnetic moment comes out at 0.000 μB per atom.

9.
# CsTl2P2

A relaxed CsTl2P2 crystal (PBEsol, Alexandria).

Cell: 5.027 5.027 10.665 Å, 90.00 90.00 90.00°
Space group I4/mmm (No. 139)
Asymmetric unit:
Cs  0.000  0.000  0.000 (multiplicity 2)
Tl  0.000  0.000  0.361 (multiplicity 4)
P  0.000  0.500  0.250 (multiplicity 4)

For the energy above the lowest structure with this stoichiometry, the calculation gives 165 meV per atom. The density of states at the Fermi level comes out at 2.0 states/eV/f.u. The formation energy is 55 meV/atom. The total magnetic moment comes out at 0.000 μB per atom.

10.
# CaOs2Ru

A relaxed CaOs2Ru crystal (PBEsol, Alexandria).

Cell: 10.346 2.758 4.951 Å, 90.00 116.75 90.00°
Space group Cm (No. 8)
Asymmetric unit:
Ca  0.000  0.000  0.000 (multiplicity 2)
Os  0.267  0.500  0.419 (multiplicity 2)
Os  0.493  0.000  0.476 (multiplicity 2)
Ru  0.221  0.000  0.832 (multiplicity 2)

For the energy above the lowest structure with this stoichiometry, the calculation gives 0 meV per atom. The density of states at the Fermi level comes out at 4.0 states/eV/f.u. The formation energy is 486 meV/atom. The total magnetic moment comes out at 0.000 μB per atom.